(1)
Entry from Alexandria via LeMat-Bulk: crystalline Sr4Mo3O10 at its relaxed geometry (GGA+U).

## Properties
size of the total moment: 12.0 μB per cell
final energy: -6.8637 eV/atom

Unit cell a=4.074 b=4.074 c=29.149 alpha=90.00 beta=90.00 gamma=90.00
Space group I4/mmm (No. 139)
Unique sites:
1 Sr 0.000 0.000 0.069
2 Sr 0.000 0.000 0.205
3 Mo 0.000 0.000 0.359
4 Mo 0.000 0.000 0.500
5 O 0.000 0.000 0.287
6 O 0.000 0.000 0.432
7 O 0.000 0.500 0.000
8 O 0.000 0.500 0.138


(2)
Entry from Alexandria via LeMat-Bulk: crystalline SrMoO2 at its relaxed geometry (GGA+U).

## Properties
E above lowest polymorph: 328.7 meV per atom
size of the total moment: 7.3 μB per cell

Unit cell a=3.4611 b=3.4611 c=19.8861 alpha=90.00 beta=90.00 gamma=120.00
Space group R-3m (No. 166, hexagonal axes)
Unique sites:
1 Sr 0.0000 0.0000 0.0000
2 Mo 0.0000 0.0000 0.5000
3 O 0.0000 0.0000 0.1185


- Look up the size of the total moment of the second one.
  7.3 μB per cell


- Among the records above, which one has the lowest size of the total moment?
  SrMoO2